(1)
## AcPrRu2 (PBE-GGA)

Data for an optimized crystal structure of AcPrRu2.

abc: 7.2201 7.2201 7.2201
angles: 90.00 90.00 90.00
Space group Fm-3m (No. 225)
Unique sites:
1 Ac 0.0000 0.0000 0.0000 [4 per cell]
2 Pr 0.0000 0.0000 0.5000 [4 per cell]
3 Ru 0.2500 0.2500 0.2500 [8 per cell]

Computed properties:
**Crystal system**: cubic
**Density of states at the Fermi level**: 18.1 states/eV per cell
**M_tot**: 0.000 Bohr magnetons per cell
**Energy above the lowest structure with this stoichiometry**: 0 meV per atom


(2)
## LiMnRh (PBE-GGA)

Data for an optimized crystal structure of LiMnRh.

abc: 2.8548 2.8548 8.8189
angles: 90.00 90.00 90.00
Space group I4mm (No. 107)
Unique sites:
1 Li 0.0000 0.0000 0.0000 [2 per cell]
2 Mn 0.0000 0.0000 0.3333 [2 per cell]
3 Rh 0.0000 0.0000 0.6719 [2 per cell]

Computed properties:
**Crystal system**: tetragonal
**Density of states at the Fermi level**: 5.2 states/eV per cell
**M_tot**: 0.011 Bohr magnetons per cell
**Energy above the lowest structure with this stoichiometry**: 164 meV per atom


(3)
## AlZn2CuTe (PBE-GGA)

Data for an optimized crystal structure of AlZn2CuTe.

abc: 4.6969 4.6969 5.7299
angles: 90.00 90.00 90.00
Space group P4/mmm (No. 123)
Unique sites:
1 Al 0.0000 0.0000 0.0000 [1 per cell]
2 Zn 0.0000 0.5000 0.0000 [2 per cell]
3 Cu 0.5000 0.5000 0.5000 [1 per cell]
4 Te 0.0000 0.0000 0.5000 [1 per cell]

Computed properties:
**Crystal system**: tetragonal
**Density of states at the Fermi level**: 2.0 states/eV per cell
**M_tot**: 0.000 Bohr magnetons per cell
**Formation energy without anion corrections**: 588.6 meV per atom
**Energy above the lowest structure with this stoichiometry**: 377 meV per atom